Entry 1:
Material: Li2NdHoSe4
Method: DFT, PBE
State: relaxed

Summary:
electronic total energy = -0.186 Ha/atom
formation energy without anion corrections = -1.675 eV/atom

Unit cell a=6.936 b=4.131 c=7.158 alpha=90.00 beta=110.07 gamma=90.00
Fractional positions:
Li 0.000 0.000 0.000
Li 0.000 0.500 0.500
Nd 0.500 0.000 0.500
Ho 0.500 0.500 0.000
Se 0.242 0.500 0.239
Se 0.246 0.000 0.757
Se 0.754 0.000 0.243
Se 0.758 0.500 0.761



Entry 2:
Material: LiNd3Ho2Se6
Method: DFT, PBE
State: relaxed

Summary:
electronic total energy = -0.207 Ha/atom
formation energy without anion corrections = -1.774 eV/atom

Unit cell a=7.108 b=7.108 c=7.228 alpha=99.46 beta=99.46 gamma=120.12
Fractional positions:
Li 0.000 0.000 0.000
Nd 0.166 0.834 0.500
Nd 0.500 0.500 0.500
Nd 0.834 0.166 0.500
Ho 0.335 0.665 0.000
Ho 0.665 0.335 0.000
Se 0.077 0.404 0.232
Se 0.249 0.249 0.771
Se 0.404 0.077 0.232
Se 0.596 0.923 0.768
Se 0.751 0.751 0.229
Se 0.923 0.596 0.768



Entry 3:
Material: Li3NdHo2Se6
Method: DFT, PBE
State: relaxed

Summary:
electronic total energy = -0.186 Ha/atom
formation energy without anion corrections = -1.683 eV/atom

Unit cell a=7.113 b=7.113 c=6.924 alpha=99.83 beta=99.83 gamma=120.02
Fractional positions:
Li 0.000 0.000 0.000
Li 0.332 0.668 0.000
Li 0.668 0.332 0.000
Nd 0.500 0.500 0.500
Ho 0.167 0.833 0.500
Ho 0.833 0.167 0.500
Se 0.073 0.416 0.246
Se 0.242 0.242 0.756
Se 0.416 0.073 0.246
Se 0.584 0.927 0.754
Se 0.758 0.758 0.244
Se 0.927 0.584 0.754



Entry 4:
Material: LiNd3Ho3Se8
Method: DFT, PBE
State: relaxed

Summary:
electronic total energy = -0.208 Ha/atom
formation energy without anion corrections = -1.798 eV/atom

Unit cell a=8.262 b=8.262 c=8.262 alpha=59.53 beta=59.53 gamma=59.53
Fractional positions:
Li 0.000 0.000 0.000
Nd 0.000 0.000 0.500
Nd 0.000 0.500 0.000
Nd 0.500 0.000 0.000
Ho 0.000 0.500 0.500
Ho 0.500 0.000 0.500
Ho 0.500 0.500 0.000
Se 0.246 0.246 0.745
Se 0.246 0.745 0.246
Se 0.254 0.254 0.254
Se 0.255 0.754 0.754
Se 0.745 0.246 0.246
Se 0.746 0.746 0.746
Se 0.754 0.255 0.754
Se 0.754 0.754 0.255



Entry 5:
Material: LiNd2Ho3Se6
Method: DFT, PBE
State: relaxed

Summary:
electronic total energy = -0.206 Ha/atom
formation energy without anion corrections = -1.765 eV/atom

Unit cell a=9.217 b=9.217 c=8.254 alpha=103.29 beta=103.29 gamma=25.67
Fractional positions:
Li 0.000 0.000 0.000
Nd 0.330 0.330 0.659
Nd 0.670 0.670 0.341
Ho 0.000 0.000 0.500
Ho 0.332 0.332 0.170
Ho 0.668 0.668 0.830
Se 0.161 0.161 0.593
Se 0.164 0.164 0.072
Se 0.497 0.497 0.246
Se 0.503 0.503 0.754
Se 0.836 0.836 0.928
Se 0.839 0.839 0.407



Entry 6:
Material: LiNd4Ho3Se8
Method: DFT, PBE
State: relaxed

Summary:
electronic total energy = -0.209 Ha/atom
formation energy without anion corrections = -1.773 eV/atom

Unit cell a=8.319 b=8.319 c=8.319 alpha=59.18 beta=59.18 gamma=59.18
Fractional positions:
Li 0.000 0.000 0.000
Nd 0.000 0.000 0.500
Nd 0.000 0.500 0.000
Nd 0.500 0.000 0.000
Nd 0.500 0.500 0.500
Ho 0.000 0.500 0.500
Ho 0.500 0.000 0.500
Ho 0.500 0.500 0.000
Se 0.241 0.241 0.749
Se 0.241 0.749 0.241
Se 0.251 0.759 0.759
Se 0.255 0.255 0.255
Se 0.745 0.745 0.745
Se 0.749 0.241 0.241
Se 0.759 0.251 0.759
Se 0.759 0.759 0.251



Entry 7:
Material: LiNd2HoSe4
Method: DFT, PBE
State: relaxed

Summary:
electronic total energy = -0.202 Ha/atom
formation energy without anion corrections = -1.754 eV/atom

Unit cell a=7.124 b=4.123 c=7.169 alpha=90.00 beta=109.29 gamma=90.00
Fractional positions:
Li 0.000 0.000 0.000
Nd 0.000 0.500 0.500
Nd 0.500 0.000 0.500
Ho 0.500 0.500 0.000
Se 0.242 0.500 0.232
Se 0.251 0.000 0.768
Se 0.749 0.000 0.232
Se 0.758 0.500 0.768



Entry 8:
Material: Li2Nd2HoSi2
Method: DFT, PBE
State: relaxed

Summary:
electronic total energy = -0.165 Ha/atom
formation energy without anion corrections = -0.391 eV/atom

Unit cell a=9.852 b=9.852 c=9.852 alpha=25.87 beta=25.87 gamma=25.87
Fractional positions:
Li 0.112 0.112 0.112
Li 0.888 0.888 0.888
Nd 0.377 0.377 0.377
Nd 0.623 0.623 0.623
Ho 0.500 0.500 0.500
Si 0.228 0.228 0.228
Si 0.772 0.772 0.772



Entry 9:
Material: Li2NdHo2Si2
Method: DFT, PBE
State: relaxed

Summary:
electronic total energy = -0.165 Ha/atom
formation energy without anion corrections = -0.398 eV/atom

Unit cell a=9.208 b=9.208 c=9.208 alpha=28.20 beta=28.20 gamma=28.20
Fractional positions:
Li 0.093 0.093 0.093
Li 0.907 0.907 0.907
Nd 0.500 0.500 0.500
Ho 0.371 0.371 0.371
Ho 0.629 0.629 0.629
Si 0.242 0.242 0.242
Si 0.758 0.758 0.758



Entry 10:
Material: LiNdHoSn
Method: DFT, PBE
State: relaxed

Summary:
formation energy = -9.7 kcal/mol of atoms
electronic total energy = -0.156 Ha/atom

Unit cell a=5.291 b=5.291 c=5.291 alpha=60.00 beta=60.00 gamma=60.00
Fractional positions:
Li 0.000 0.000 0.000
Nd 0.750 0.750 0.750
Ho 0.250 0.250 0.250
Sn 0.500 0.500 0.500